Entry 1:
LiCe2I6: optimized geometry, GGA-PBE.

Computed properties:
- Fermi-level density of states (states/eV/cell) = 31.96
- symmetry = No. 136
- distance to the lowest polymorph of the same formula (eV/atom) = 0.0341

```
LiCe2I6
1.0
7.548 0.000 0.000
0.000 7.548 0.000
0.000 0.000 13.657
Li Ce I
2 4 12
Cartesian
0.000 0.000 0.000
3.774 3.774 6.829
0.000 0.000 4.659
0.000 0.000 8.999
3.774 3.774 2.170
3.774 3.774 11.487
1.480 1.480 2.193
1.480 1.480 11.464
1.627 1.627 6.829
2.147 5.402 0.000
2.295 5.254 4.636
2.295 5.254 9.022
5.254 2.295 4.636
5.254 2.295 9.022
5.402 2.147 0.000
5.921 5.921 6.829
6.069 6.069 2.193
6.069 6.069 11.464
```


Entry 2:
LiCeI5: optimized geometry, GGA-PBE.

Computed properties:
- DFT total energy (eV per atom) = -3.3388
- symmetry = No. 15

```
LiCeI5
1.0
5.918 -5.586 0.000
5.918 5.586 0.000
-5.513 0.000 10.230
Li Ce I
2 2 10
Cartesian
1.783 4.158 7.672
4.540 -4.158 2.557
2.959 2.793 0.000
0.202 -2.793 5.115
-0.548 0.101 4.840
-0.109 2.268 8.566
-3.304 -0.101 9.955
4.540 1.981 2.557
3.675 2.268 6.779
2.648 -2.268 3.451
1.783 -1.981 7.672
9.627 0.101 0.275
6.431 -2.268 1.664
6.870 -0.101 5.390
```


Entry 3:
LiCe3I8: optimized geometry, GGA-PBE.

Computed properties:
- DFT total energy (eV per atom) = -3.9390
- Fermi-level density of states (states/eV/cell) = 24.56
- symmetry = No. 12

```
LiCe3I8
1.0
7.653 -4.421 0.000
7.653 4.421 0.000
-5.185 0.000 7.825
Li Ce I
1 3 8
Cartesian
0.000 0.000 0.000
3.826 2.210 0.000
3.826 -2.210 0.000
7.653 0.000 0.000
2.437 0.000 1.836
6.435 2.308 1.837
3.686 2.308 5.988
-0.084 0.000 5.832
10.205 0.000 1.993
6.435 -2.308 1.837
3.686 -2.308 5.988
7.684 0.000 5.988
```


Entry 4:
LiCeI6: optimized geometry, GGA-PBE.

Computed properties:
- Fermi-level density of states (states/eV/cell) = 13.63
- symmetry = No. 12
- distance to the lowest polymorph of the same formula (eV/atom) = 0.0000

```
LiCeI6
1.0
8.234 0.000 0.000
0.000 11.502 0.000
-0.346 0.000 7.483
Li Ce I
2 2 12
Cartesian
0.000 0.000 0.000
4.117 5.751 0.000
-0.173 0.000 3.742
3.944 5.751 3.742
1.042 1.963 5.694
1.042 9.539 5.694
1.467 5.751 5.542
2.305 0.000 1.941
2.730 3.788 1.789
2.730 7.714 1.789
5.159 3.788 5.694
5.159 7.714 5.694
5.584 0.000 5.542
6.422 5.751 1.941
6.847 1.963 1.789
6.847 9.539 1.789
```


Entry 5:
LiCeI6: optimized geometry, GGA-PBE.

Computed properties:
- Fermi-level density of states (states/eV/cell) = 5.79
- symmetry = No. 2
- distance to the lowest polymorph of the same formula (eV/atom) = 0.0266

```
LiCeI6
1.0
6.923 0.000 0.000
2.472 6.500 0.000
3.015 2.000 7.313
Li Ce I
1 1 6
Cartesian
0.000 0.000 0.000
6.205 4.250 3.657
3.876 4.166 5.614
4.778 6.384 1.990
7.077 6.404 5.586
5.333 2.097 1.727
7.632 2.116 5.323
8.534 4.334 1.699
```


Entry 6:
NaLi2CeI6: optimized geometry, GGA-PBE.

Computed properties:
- DFT total energy (eV per atom) = -3.2824
- Fermi-level density of states (states/eV/cell) = 8.26
- symmetry = No. 146

```
NaLi2CeI6
1.0
3.887 2.244 7.126
-3.887 2.244 7.126
0.000 -4.489 7.126
Na Li Ce I
1 2 1 6
Cartesian
0.000 0.000 0.000
0.000 0.000 6.558
0.000 0.000 17.300
0.000 0.000 10.541
-2.418 -0.218 8.522
-1.413 -2.363 12.077
1.397 -1.985 8.522
-1.340 2.405 12.077
1.020 2.202 8.522
2.753 -0.042 12.077
```


Entry 7:
Li2CePbI8: optimized geometry, GGA-PBE.

Computed properties:
- DFT total energy (eV per atom) = -3.1463
- Fermi-level density of states (states/eV/cell) = 3.23
- symmetry = No. 2

```
Li2CePbI8
1.0
7.192 0.000 0.000
-0.594 7.566 0.000
-0.040 -0.035 9.109
Li Ce Pb I
2 1 1 8
Cartesian
0.017 0.006 2.126
6.541 7.525 6.983
3.279 3.765 4.555
3.299 3.783 0.000
1.462 1.114 9.096
1.491 1.285 4.543
1.509 5.029 2.421
1.493 5.014 6.682
5.065 2.516 2.427
5.049 2.502 6.688
5.067 6.246 4.566
5.096 6.417 0.013
```


Entry 8:
Rb2LiCeI6: optimized geometry, GGA-PBE.

Computed properties:
- DFT total energy (eV per atom) = -3.2652
- Fermi-level density of states (states/eV/cell) = 8.58
- symmetry = No. 225

```
Rb2LiCeI6
1.0
0.000 6.096 6.096
6.096 0.000 6.096
6.096 6.096 0.000
Rb Li Ce I
2 1 1 6
Cartesian
3.048 3.048 3.048
9.144 9.144 9.144
0.000 0.000 0.000
6.096 6.096 6.096
6.096 6.096 2.977
6.096 2.977 6.096
9.214 6.096 6.096
2.977 6.096 6.096
6.096 9.214 6.096
6.096 6.096 9.214
```


Entry 9:
RbLi2CeI6: optimized geometry, GGA-PBE.

Computed properties:
- DFT total energy (eV per atom) = -3.2886
- Fermi-level density of states (states/eV/cell) = 8.56
- symmetry = No. 1

```
RbLi2CeI6
1.0
8.046 0.000 0.000
-4.018 6.972 0.000
-4.018 -2.318 7.258
Rb Li Ce I
1 2 1 6
Cartesian
0.000 0.000 0.000
0.013 0.009 4.515
0.011 4.643 1.058
-4.018 2.326 4.147
-1.176 2.359 2.716
-2.337 0.653 6.234
-3.403 4.621 6.230
2.636 -0.152 2.716
1.740 1.711 6.236
2.577 4.768 2.715
```


Entry 10:
RbLi2CeI8: optimized geometry, GGA-PBE.

Computed properties:
- DFT total energy (eV per atom) = -2.9716
- Fermi-level density of states (states/eV/cell) = 5.80
- symmetry = No. 12

```
RbLi2CeI8
1.0
6.866 -3.998 0.000
6.866 3.998 0.000
-0.394 0.000 10.559
Rb Li Ce I
1 2 1 8
Cartesian
0.000 0.000 0.000
4.430 0.000 2.762
8.907 0.000 7.797
-0.197 0.000 5.279
2.826 0.000 5.056
6.513 1.927 3.067
3.634 0.000 0.134
6.825 1.927 7.492
6.513 -1.927 3.067
9.703 0.000 10.425
6.825 -1.927 7.492
10.511 0.000 5.503
```


Entry 11:
LiCeSeI: optimized geometry, GGA-PBE.

Computed properties:
- DFT total energy (eV per atom) = -4.5597
- Fermi-level density of states (states/eV/cell) = 13.00
- symmetry = No. 166

```
LiCeSeI
1.0
2.103 1.214 15.294
-2.103 1.214 15.294
0.000 -2.429 15.294
Li Ce Se I
2 2 2 2
Cartesian
0.000 0.000 8.565
0.000 0.000 37.316
0.000 0.000 19.372
0.000 0.000 26.509
0.000 0.000 5.926
0.000 0.000 39.955
0.000 0.000 13.312
0.000 0.000 32.569
```


Entry 12:
SrLiCeI6: optimized geometry, GGA-PBE.

Computed properties:
- DFT total energy (eV per atom) = -3.4924
- Fermi-level density of states (states/eV/cell) = 16.33
- symmetry = No. 163

```
SrLiCeI6
1.0
7.833 0.000 0.000
-3.917 6.784 0.000
0.000 0.000 14.596
Sr Li Ce I
2 2 2 12
Cartesian
0.000 0.000 0.000
0.000 0.000 7.298
0.000 4.522 3.649
3.917 2.261 10.947
0.000 4.522 10.947
3.917 2.261 3.649
-1.306 2.411 1.887
-2.481 4.447 5.411
1.306 2.411 5.411
-1.175 6.709 1.887
2.741 0.075 9.185
1.436 2.336 12.709
2.481 4.447 1.887
1.175 6.709 5.411
5.092 0.075 12.709
2.611 4.372 9.185
6.397 2.336 9.185
5.222 4.372 12.709
```